1.
Here is a relaxed structure of In3BCl from Alexandria. Energies are from PBE.

Space-group type: Pm-3m
Formation energy (no corrections) in eV/atom: 0.2426
DOS(E_F) in states/eV/f.u.: 2.4
Distance to the lowest polymorph of the same formula in meV per atom: 0

```
5
Lattice="-3.2737 -0.5436 3.7058 1.0946 -4.8458 0.2561 3.5819 0.9840 3.3086" Properties=species:S:1:pos:R:3 pbc="T T T"
B 0.0000 0.0000 0.0000
Cl 0.7014 -2.2027 3.6353
In 0.5473 -2.4229 0.1281
In 1.7910 0.4920 1.6543
In -1.6368 -0.2718 1.8529
```

2.
Here is a relaxed structure of TmCN2 from Alexandria. Energies are from PBE.

Space-group type: Pmn2_1
Formation energy (no corrections) in eV/atom: -0.6459
DOS(E_F) in states/eV/f.u.: 2.3

```
8
Lattice="-2.2744 -2.4229 1.3272 3.2868 -1.1786 3.4810 -2.2241 3.9755 3.4461" Properties=species:S:1:pos:R:3 pbc="T T T"
Tm 0.2386 3.0792 6.0303
Tm -1.4067 0.4610 3.2548
C -2.2831 2.1918 4.9128
C 1.3563 0.9170 3.9984
N -2.9602 2.2243 3.8116
N 0.4027 1.7940 3.9652
N 2.3279 0.3582 4.6434
N 0.1458 -1.3221 2.6602
```

3.
Here is a relaxed structure of SrPuMo2N6 from Alexandria. Energies are from PBE.

Space-group type: C2/c
Formation energy (no corrections) in eV/atom: -0.6154
DOS(E_F) in states/eV/f.u.: 9.6

```
20
Lattice="6.5123 0.0509 0.0529 2.1548 7.2972 0.2599 2.1548 -0.0107 7.3018" Properties=species:S:1:pos:R:3 pbc="T T T"
Sr 3.7828 6.6185 0.9394
Sr 7.0390 0.7189 6.6752
Pu 3.7828 2.0857 5.3072
Pu 7.0390 5.2517 2.3074
Mo 5.0641 5.7668 4.7783
Mo 2.5016 2.7507 1.6482
Mo 5.7578 1.5706 2.8363
Mo 8.3202 4.5867 5.9664
N 2.8501 0.0032 5.5398
N 4.7156 1.7761 7.3796
N 7.9717 7.3342 2.0748
N 6.1062 5.5614 0.2350
N 5.1364 6.1691 3.0144
N 2.4293 4.5283 1.3116
N 5.6854 1.1683 4.6002
N 8.3926 2.8091 6.3030
N 3.5328 4.5867 5.1072
N 4.0329 2.3783 2.8153
N 7.2890 2.7507 2.5074
N 6.7890 4.9592 4.7993
```

4.
Here is a relaxed structure of YCr2Cl from Alexandria. Energies are from PBE.

Space-group type: P4mm
Formation energy (no corrections) in eV/atom: -0.1092
DOS(E_F) in states/eV/f.u.: 4.0
Distance to the lowest polymorph of the same formula in meV per atom: 27

```
4
Lattice="-0.1201 -2.9873 1.1806 1.9675 -1.0023 -2.3359 6.3570 1.5908 4.6720" Properties=species:S:1:pos:R:3 pbc="T T T"
Y 3.0755 0.7696 2.2603
Cr 0.5656 0.1415 0.4157
Cr 2.3199 -1.6454 0.4485
Cl 5.4220 -0.8691 2.7283
```

5.
Here is a relaxed structure of CeAlRh3 from Alexandria. Energies are from PBE.

Space-group type: Imma
DOS(E_F) in states/eV/f.u.: 4.2
Formation energy from the elements in eV per atom: -0.688

```
10
Lattice="6.1690 1.1518 -0.0721 -1.9482 5.9656 0.0721 -3.2257 -2.8973 4.5375" Properties=species:S:1:pos:R:3 pbc="T T T"
Ce 2.2446 3.3788 3.3851
Ce -1.2494 0.8413 1.1524
Al 2.1104 3.5587 0.0000
Al 1.4716 -0.8727 2.2327
Rh 1.4865 1.5236 1.3877
Rh -1.9630 3.5693 0.9172
Rh -0.4914 2.6965 3.1498
Rh -3.2109 -0.5010 3.6925
Rh 1.6774 5.7767 1.1524
Rh -0.6823 -1.5566 3.3851
```

6.
Here is a relaxed structure of SrAcTb from Alexandria. Energies are from PBE.

Space-group type: P3m1
DOS(E_F) in states/eV/f.u.: 3.9
Formation energy from the elements in eV per atom: 0.111
Distance to the lowest polymorph of the same formula in meV per atom: 12

```
3
Lattice="3.9053 0.0000 0.0000 -1.9527 3.3821 0.0000 0.0000 0.0000 9.6028" Properties=species:S:1:pos:R:3 pbc="T T T"
Sr 0.0000 0.0000 0.1095
Ac 0.0000 2.2548 6.1908
Tb 1.9527 1.1274 3.3024
```

7.
Here is a relaxed structure of Al2AgSb from Alexandria. Energies are from PBE.

Space-group type: Immm
Formation energy (no corrections) in eV/atom: 0.1884
DOS(E_F) in states/eV/f.u.: 1.5

```
4
Lattice="5.2583 -0.0134 -0.0138 1.6119 5.0052 0.0138 -3.1949 -2.8264 3.0747" Properties=species:S:1:pos:R:3 pbc="T T T"
Sb 2.7492 -0.1720 1.5304
Al 0.0479 0.0348 0.0000
Al 3.3872 2.4610 0.0000
Ag 0.9260 2.3373 1.5443
```

DOS(E_F) of number 5 (CeAlRh3)?
4.2 states/eV/f.u.

DOS(E_F) of number 2 (TmCN2)?
2.3 states/eV/f.u.

Among the records above, which one has the lowest DOS(E_F)?
Al2AgSb

Among the records above, which one has the highest DOS(E_F)?
SrPuMo2N6